# 1
NaDyMgTl: optimized geometry, PBE.

Geometry as POSCAR:
```
NaDyMgTl
1.0
0.000 3.753 3.753
3.753 0.000 3.753
3.753 3.753 0.000
Na Dy Mg Tl
1 1 1 1
Direct
0.000 0.000 0.000 Na
0.500 0.500 0.500 Dy
0.750 0.750 0.750 Mg
0.250 0.250 0.250 Tl
```

The formation energy comes out at -0.31 eV per formula unit. The density of states at the Fermi level is 2.4 states/eV/f.u.

# 2
Tc2SnB: optimized geometry, PBE.

Geometry as POSCAR:
```
Tc2SnB
1.0
0.000 3.052 3.052
3.052 0.000 3.052
3.052 3.052 0.000
Tc Sn B
2 1 1
Direct
0.250 0.250 0.250 Tc
0.750 0.750 0.750 Tc
0.000 0.000 0.000 Sn
0.500 0.500 0.500 B
```

The formation energy comes out at 2.74 eV per formula unit. The density of states at the Fermi level is 4.5 states/eV/f.u. The energy above the most stable polymorph in this dataset is 0 meV per atom.

# 3
TbSmAu2: optimized geometry, PBE.

Geometry as POSCAR:
```
TbSmAu2
1.0
2.037 1.176 7.548
-2.037 1.176 7.548
0.000 -2.352 7.548
Tb Sm Au
1 1 2
Direct
0.000 0.000 0.000 Tb
0.169 0.169 0.169 Sm
0.587 0.587 0.587 Au
0.748 0.748 0.748 Au
```

The formation energy comes out at -2.82 eV per formula unit. The density of states at the Fermi level is 3.1 states/eV/f.u.

# 4
MgFeSe2: optimized geometry, PBE.

Geometry as POSCAR:
```
MgFeSe2
1.0
3.796 0.000 0.000
-1.898 3.287 0.000
0.000 0.000 6.227
Mg Fe Se
1 1 2
Direct
0.000 0.000 0.000 Mg
0.000 0.000 0.500 Fe
0.333 0.667 0.738 Se
0.667 0.333 0.262 Se
```

The density of states at the Fermi level is 2.4 states/eV/f.u. As for the formation energy (no corrections): -574 meV/atom.

# 5
Zr2CdOs: optimized geometry, PBE.

Geometry as POSCAR:
```
Zr2CdOs
1.0
3.276 0.000 0.000
0.000 3.276 0.000
0.000 0.000 7.411
Zr Cd Os
2 1 1
Direct
0.000 0.000 0.221 Zr
0.000 0.000 0.779 Zr
0.500 0.500 0.500 Cd
0.500 0.500 0.000 Os
```

The formation energy comes out at -1.16 eV per formula unit. The density of states at the Fermi level is 2.9 states/eV/f.u.

# 6
LiPrNiSb: optimized geometry, PBE.

Geometry as POSCAR:
```
LiPrNiSb
1.0
0.000 3.369 3.369
3.369 0.000 3.369
3.369 3.369 0.000
Li Pr Ni Sb
1 1 1 1
Direct
0.000 0.000 0.000 Li
0.250 0.250 0.250 Pr
0.500 0.500 0.500 Ni
0.750 0.750 0.750 Sb
```

The density of states at the Fermi level is 2.6 states/eV/f.u. As for the formation energy (no corrections): -505 meV/atom.

# 7
Li3CeU2Se6: optimized geometry, PBE.

Geometry as POSCAR:
```
Li3CeU2Se6
1.0
3.535 -6.124 0.000
3.535 6.124 0.000
-2.361 0.000 6.586
Li Ce U Se
3 1 2 6
Direct
0.000 0.000 0.000 Li
0.333 0.667 0.000 Li
0.667 0.333 0.000 Li
0.500 0.500 0.500 Ce
0.166 0.834 0.500 U
0.834 0.166 0.500 U
0.073 0.414 0.241 Se
0.247 0.247 0.762 Se
0.414 0.073 0.241 Se
0.586 0.927 0.759 Se
0.753 0.753 0.238 Se
0.927 0.586 0.759 Se
```

The density of states at the Fermi level is 12.3 states/eV/f.u. As for the formation energy (no corrections): -1320 meV/atom.

# 8
AsH6Pd6: optimized geometry, PBE.

Geometry as POSCAR:
```
AsH6Pd6
1.0
4.643 0.000 0.000
-2.321 4.021 0.000
0.000 0.000 7.632
As H Pd
1 6 6
Direct
0.000 0.000 0.000 As
0.000 0.500 0.344 H
0.000 0.500 0.656 H
0.500 0.000 0.344 H
0.500 0.000 0.656 H
0.500 0.500 0.344 H
0.500 0.500 0.656 H
0.000 0.000 0.319 Pd
0.000 0.000 0.681 Pd
0.333 0.667 0.000 Pd
0.333 0.667 0.500 Pd
0.667 0.333 0.000 Pd
0.667 0.333 0.500 Pd
```

The density of states at the Fermi level is 5.4 states/eV/f.u. The value obtained for the raw total energy is -4.17 eV per atom.

# 9
Th5Te6: optimized geometry, PBE.

Geometry as POSCAR:
```
Th5Te6
1.0
3.872 -6.588 0.000
3.872 6.588 0.000
-2.515 0.000 7.110
Th Te
5 6
Direct
0.000 0.000 0.000 Th
0.164 0.836 0.500 Th
0.318 0.682 0.000 Th
0.682 0.318 0.000 Th
0.836 0.164 0.500 Th
0.121 0.426 0.272 Te
0.272 0.272 0.751 Te
0.426 0.121 0.272 Te
0.574 0.879 0.728 Te
0.728 0.728 0.249 Te
0.879 0.574 0.728 Te
```

The density of states at the Fermi level is 9.5 states/eV/f.u. As for the formation energy (no corrections): -1119 meV/atom.

# 10
Hf3In2Pd8: optimized geometry, PBE.

Geometry as POSCAR:
```
Hf3In2Pd8
1.0
2.676 1.545 9.747
-2.676 1.545 9.747
0.000 -3.091 9.747
Hf In Pd
3 2 8
Direct
0.000 0.000 0.000 Hf
0.190 0.190 0.190 Hf
0.810 0.810 0.810 Hf
0.368 0.368 0.368 In
0.632 0.632 0.632 In
0.220 0.722 0.722 Pd
0.278 0.278 0.780 Pd
0.278 0.780 0.278 Pd
0.280 0.280 0.280 Pd
0.720 0.720 0.720 Pd
0.722 0.220 0.722 Pd
0.722 0.722 0.220 Pd
0.780 0.278 0.278 Pd
```

The formation energy comes out at -5.33 eV per formula unit. The density of states at the Fermi level is 5.8 states/eV/f.u.

# 11
TiHg3As: optimized geometry, PBE.

Geometry as POSCAR:
```
TiHg3As
1.0
5.217 0.000 0.000
0.000 5.217 0.000
0.000 0.000 5.217
Ti Hg As
1 3 1
Direct
0.000 0.000 0.000 Ti
0.000 0.500 0.500 Hg
0.500 0.000 0.500 Hg
0.500 0.500 0.000 Hg
0.500 0.500 0.500 As
```

The formation energy comes out at 4.48 eV per formula unit. The density of states at the Fermi level is 12.0 states/eV/f.u. The energy above the most stable polymorph in this dataset is 94 meV per atom.

# 12
SmHoCo2: optimized geometry, PBE.

Geometry as POSCAR:
```
SmHoCo2
1.0
3.872 0.000 0.000
0.000 5.605 0.000
0.000 0.000 7.551
Sm Ho Co
2 2 4
Direct
0.000 0.133 0.000 Sm
0.000 0.867 0.500 Sm
0.500 0.369 0.644 Ho
0.500 0.631 0.144 Ho
0.000 0.358 0.352 Co
0.000 0.642 0.852 Co
0.500 0.162 0.297 Co
0.500 0.838 0.797 Co
```

The formation energy comes out at -0.65 eV per formula unit. The density of states at the Fermi level is 4.3 states/eV/f.u. The energy above the most stable polymorph in this dataset is 0 meV per atom.